# AlPt2

A relaxed structure of AlPt2 (PBE, Alexandria via LeMat-Bulk).

Structure (CIF):
```
data_AlPt2
_cell_length_a 6.931
_cell_length_b 6.931
_cell_length_c 4.734
_cell_angle_alpha 90.00
_cell_angle_beta 90.00
_cell_angle_gamma 156.20
_space_group_name_H-M_alt 'P 1'
_space_group_IT_number 1
loop_
_space_group_symop_operation_xyz
'x,y,z'
loop_
_atom_site_label
_atom_site_type_symbol
_atom_site_fract_x
_atom_site_fract_y
_atom_site_fract_z
Al1 Al 0.210 0.790 0.750
Al2 Al 0.790 0.210 0.250
Pt1 Pt 0.134 0.866 0.250
Pt2 Pt 0.444 0.556 0.250
Pt3 Pt 0.556 0.444 0.750
Pt4 Pt 0.866 0.134 0.750
```

SG: Cmcm, No. 63
DFT total energy in eV per atom: -5.939
Total magnetic moment in Bohr magnetons per cell: 0.0
Crystal system: orthorhombic
V in Å³/f.u.: 45.9

=====

# HoVGe3

A relaxed structure of HoVGe3 (PBE, Alexandria via LeMat-Bulk).

Structure (CIF):
```
data_HoVGe3
_cell_length_a 12.762
_cell_length_b 5.325
_cell_length_c 5.588
_cell_angle_alpha 90.00
_cell_angle_beta 90.00
_cell_angle_gamma 90.00
_space_group_name_H-M_alt 'P 1'
_space_group_IT_number 1
loop_
_space_group_symop_operation_xyz
'x,y,z'
loop_
_atom_site_label
_atom_site_type_symbol
_atom_site_fract_x
_atom_site_fract_y
_atom_site_fract_z
Ho1 Ho 0.187 0.002 0.250
Ho2 Ho 0.187 0.498 0.750
Ho3 Ho 0.813 0.502 0.250
Ho4 Ho 0.813 0.998 0.750
V1 V 0.410 0.750 0.000
V2 V 0.410 0.750 0.500
V3 V 0.590 0.250 0.000
V4 V 0.590 0.250 0.500
Ge1 Ge 0.001 0.750 0.000
Ge2 Ge 0.001 0.750 0.500
Ge3 Ge 0.277 0.502 0.250
Ge4 Ge 0.277 0.998 0.750
Ge5 Ge 0.423 0.172 0.250
Ge6 Ge 0.423 0.328 0.750
Ge7 Ge 0.577 0.672 0.250
Ge8 Ge 0.577 0.828 0.750
Ge9 Ge 0.723 0.002 0.250
Ge10 Ge 0.723 0.498 0.750
Ge11 Ge 0.999 0.250 0.000
Ge12 Ge 0.999 0.250 0.500
```

SG: Pbcm, No. 57
DFT total energy in eV per atom: -5.869
Total magnetic moment in Bohr magnetons per cell: 0.0
Crystal system: orthorhombic
V in Å³/f.u.: 94.9

=====

# Rb2YTlIr

A relaxed structure of Rb2YTlIr (PBE, Alexandria via LeMat-Bulk).

Structure (CIF):
```
data_Rb2YTlIr
_cell_length_a 6.219
_cell_length_b 6.219
_cell_length_c 5.987
_cell_angle_alpha 90.00
_cell_angle_beta 90.00
_cell_angle_gamma 90.00
_space_group_name_H-M_alt 'P 1'
_space_group_IT_number 1
loop_
_space_group_symop_operation_xyz
'x,y,z'
loop_
_atom_site_label
_atom_site_type_symbol
_atom_site_fract_x
_atom_site_fract_y
_atom_site_fract_z
Rb1 Rb 0.000 0.500 0.000
Rb2 Rb 0.500 0.000 0.000
Y1 Y 0.000 0.000 0.500
Tl1 Tl 0.000 0.000 0.000
Ir1 Ir 0.500 0.500 0.500
```

SG: P4/mmm, No. 123
DFT total energy in eV per atom: -2.579
Total magnetic moment in Bohr magnetons per cell: 0.1
Crystal system: tetragonal
V in Å³/f.u.: 231.6

=====

# RhPb2Br

A relaxed structure of RhPb2Br (PBE, Alexandria via LeMat-Bulk).

Structure (CIF):
```
data_RhPb2Br
_cell_length_a 5.176
_cell_length_b 5.176
_cell_length_c 5.176
_cell_angle_alpha 60.00
_cell_angle_beta 60.00
_cell_angle_gamma 60.00
_space_group_name_H-M_alt 'P 1'
_space_group_IT_number 1
loop_
_space_group_symop_operation_xyz
'x,y,z'
loop_
_atom_site_label
_atom_site_type_symbol
_atom_site_fract_x
_atom_site_fract_y
_atom_site_fract_z
Rh1 Rh 0.000 0.000 0.000
Pb1 Pb 0.250 0.250 0.250
Pb2 Pb 0.500 0.500 0.500
Br1 Br 0.750 0.750 0.750
```

SG: F-43m, No. 216
DFT total energy in eV per atom: -3.782
Total magnetic moment in Bohr magnetons per cell: 0.0
Distance to the lowest polymorph of the same formula in kcal/mol of atoms: 11.567
Formation energy from raw total energies in kJ/mol of formula units: 126
Crystal system: cubic
V in Å³/f.u.: 98.1

=====

# Nb2GaAs2

A relaxed structure of Nb2GaAs2 (PBE, Alexandria via LeMat-Bulk).

Structure (CIF):
```
data_Nb2GaAs2
_cell_length_a 7.200
_cell_length_b 7.200
_cell_length_c 3.440
_cell_angle_alpha 90.00
_cell_angle_beta 90.00
_cell_angle_gamma 90.00
_space_group_name_H-M_alt 'P 1'
_space_group_IT_number 1
loop_
_space_group_symop_operation_xyz
'x,y,z'
loop_
_atom_site_label
_atom_site_type_symbol
_atom_site_fract_x
_atom_site_fract_y
_atom_site_fract_z
Nb1 Nb 0.147 0.353 0.000
Nb2 Nb 0.353 0.853 0.000
Nb3 Nb 0.647 0.147 0.000
Nb4 Nb 0.853 0.647 0.000
Ga1 Ga 0.000 0.000 0.000
Ga2 Ga 0.500 0.500 0.000
As1 As 0.146 0.646 0.500
As2 As 0.354 0.146 0.500
As3 As 0.646 0.854 0.500
As4 As 0.854 0.354 0.500
```

SG: P4/mbm, No. 127
DFT total energy in eV per atom: -6.870
Total magnetic moment in Bohr magnetons per cell: 0.0
Distance to the lowest polymorph of the same formula in kcal/mol of atoms: 0.000
Crystal system: tetragonal
V in Å³/f.u.: 89.2

=====

# Te3W

A relaxed structure of Te3W (PBE, Alexandria via LeMat-Bulk).

Structure (CIF):
```
data_Te3W
_cell_length_a 5.363
_cell_length_b 5.363
_cell_length_c 5.363
_cell_angle_alpha 90.00
_cell_angle_beta 90.00
_cell_angle_gamma 90.00
_space_group_name_H-M_alt 'P 1'
_space_group_IT_number 1
loop_
_space_group_symop_operation_xyz
'x,y,z'
loop_
_atom_site_label
_atom_site_type_symbol
_atom_site_fract_x
_atom_site_fract_y
_atom_site_fract_z
Te1 Te 0.000 0.000 0.500
Te2 Te 0.000 0.500 0.000
Te3 Te 0.500 0.000 0.000
W1 W 0.000 0.000 0.000
```

SG: Pm-3m, No. 221
DFT total energy in eV per atom: -4.978
Total magnetic moment in Bohr magnetons per cell: 0.0
Distance to the lowest polymorph of the same formula in kcal/mol of atoms: 11.714
Formation energy from raw total energies in kJ/mol of formula units: 238
Crystal system: cubic
V in Å³/f.u.: 154.2

=====

# MgB2Pd2

A relaxed structure of MgB2Pd2 (PBE, Alexandria via LeMat-Bulk).

Structure (CIF):
```
data_MgB2Pd2
_cell_length_a 6.765
_cell_length_b 6.765
_cell_length_c 6.765
_cell_angle_alpha 153.13
_cell_angle_beta 153.13
_cell_angle_gamma 38.37
_space_group_name_H-M_alt 'P 1'
_space_group_IT_number 1
loop_
_space_group_symop_operation_xyz
'x,y,z'
loop_
_atom_site_label
_atom_site_type_symbol
_atom_site_fract_x
_atom_site_fract_y
_atom_site_fract_z
Mg1 Mg 0.000 0.000 0.000
B1 B 0.250 0.750 0.500
B2 B 0.750 0.250 0.500
Pd1 Pd 0.367 0.367 0.000
Pd2 Pd 0.633 0.633 0.000
```

SG: I4/mmm, No. 139
DFT total energy in eV per atom: -5.098
Total magnetic moment in Bohr magnetons per cell: 0.0
Distance to the lowest polymorph of the same formula in kcal/mol of atoms: 0.000
Crystal system: tetragonal
V in Å³/f.u.: 63.1

=====

# Sc3CoSn2

A relaxed structure of Sc3CoSn2 (PBE, Alexandria via LeMat-Bulk).

Structure (CIF):
```
data_Sc3CoSn2
_cell_length_a 11.525
_cell_length_b 4.418
_cell_length_c 9.842
_cell_angle_alpha 90.00
_cell_angle_beta 90.00
_cell_angle_gamma 90.00
_space_group_name_H-M_alt 'P 1'
_space_group_IT_number 1
loop_
_space_group_symop_operation_xyz
'x,y,z'
loop_
_atom_site_label
_atom_site_type_symbol
_atom_site_fract_x
_atom_site_fract_y
_atom_site_fract_z
Sc1 Sc 0.056 0.250 0.147
Sc2 Sc 0.154 0.750 0.587
Sc3 Sc 0.244 0.250 0.803
Sc4 Sc 0.256 0.750 0.303
Sc5 Sc 0.346 0.250 0.087
Sc6 Sc 0.444 0.750 0.647
Sc7 Sc 0.556 0.250 0.353
Sc8 Sc 0.654 0.750 0.913
Sc9 Sc 0.744 0.250 0.697
Sc10 Sc 0.756 0.750 0.197
Sc11 Sc 0.846 0.250 0.413
Sc12 Sc 0.944 0.750 0.853
Co1 Co 0.118 0.250 0.391
Co2 Co 0.382 0.750 0.891
Co3 Co 0.618 0.250 0.109
Co4 Co 0.882 0.750 0.609
Sn1 Sn 0.001 0.250 0.655
Sn2 Sn 0.175 0.750 0.998
Sn3 Sn 0.325 0.250 0.498
Sn4 Sn 0.499 0.750 0.155
Sn5 Sn 0.501 0.250 0.845
Sn6 Sn 0.675 0.750 0.502
Sn7 Sn 0.825 0.250 0.002
Sn8 Sn 0.999 0.750 0.345
```

SG: Pnma, No. 62
DFT total energy in eV per atom: -6.246
Total magnetic moment in Bohr magnetons per cell: 0.0
Crystal system: orthorhombic
V in Å³/f.u.: 125.3

=====

Q: Which of these has the highest V?
A: Rb2YTlIr

=====

Q: Look up the DFT total energy of the third one.
A: -2.579 eV per atom

=====

Q: Among the records above, which one has the highest DFT total energy?
A: Rb2YTlIr